--- i ---
TlInGaBi: relaxed, PBE.

Lattice parameters (Å, degrees): 5.4499 5.4499 5.4499 60.00 60.00 60.00
Fractional positions:
Bi 0.7500 0.7500 0.7500
Tl 0.2500 0.2500 0.2500
Ga 0.5000 0.5000 0.5000
In 0.0000 0.0000 0.0000

Output
The calculation puts the density at 8.67 g cm⁻³. The density of states at the Fermi level is 2.9 states/eV/cell. Its space group is F-43m (216).

--- ii ---
TlInGaBi: relaxed, PBE.

Lattice parameters (Å, degrees): 3.4002 3.4002 9.6816 90.00 90.00 90.00
Fractional positions:
Bi 0.0000 0.0000 0.5437
Tl 0.5000 0.5000 0.8276
Ga 0.5000 0.5000 0.3143
In 0.0000 0.0000 0.0991

Output
The calculation puts the density at 8.87 g cm⁻³. The density of states at the Fermi level is 2.0 states/eV/cell. Its space group is P4mm (99).

Tell me which of them is the least stable. Sure, it is i.

--- i ---
GaBi2Ir2: relaxed, PBE.

Lattice parameters (Å, degrees): 4.1367 4.1367 7.8099 74.64 74.64 90.00
Fractional positions:
Ir 0.2500 0.7500 0.5000
Ir 0.7500 0.2500 0.5000
Bi 0.6281 0.6281 0.7438
Bi 0.3719 0.3719 0.2562
Ga 0.0000 0.0000 0.0000

Output
The calculation puts the density at 11.69 g cm⁻³. The density of states at the Fermi level is 2.3 states/eV/cell. Its space group is I4/mmm (139).

--- ii ---
GaBi2Ir2: relaxed, PBE.

Lattice parameters (Å, degrees): 8.3076 8.3076 3.1756 90.00 90.00 90.00
Fractional positions:
Ga 0.5000 0.5000 0.0000
Ga 0.0000 0.0000 0.0000
Bi 0.6575 0.1575 0.0000
Bi 0.8425 0.6575 0.0000
Bi 0.3425 0.8425 0.0000
Bi 0.1575 0.3425 0.0000
Ir 0.8689 0.3689 0.5000
Ir 0.3689 0.1311 0.5000
Ir 0.1311 0.6311 0.5000
Ir 0.6311 0.8689 0.5000

Output
The calculation puts the density at 13.22 g cm⁻³. The density of states at the Fermi level is 6.6 states/eV/cell. Its space group is P4/mbm (127).

Tell me which of them is the least stable. Sure, it is ii.

--- i ---
GaBiIr: relaxed, PBE.

Lattice parameters (Å, degrees): 4.5170 4.5170 4.5170 60.00 60.00 60.00
Fractional positions:
Bi 0.0000 0.0000 0.0000
Ir 0.2500 0.2500 0.2500
Ga 0.5000 0.5000 0.5000

Output
The calculation puts the density at 12.00 g cm⁻³. The density of states at the Fermi level is 2.0 states/eV/cell. Its space group is F-43m (216).

--- ii ---
GaBiIr: relaxed, PBE.

Lattice parameters (Å, degrees): 4.5974 6.0495 7.0871 51.99 71.07 67.67
Fractional positions:
Ir 0.4152 0.7760 0.3936
Ir 0.5848 0.2240 0.6064
Bi 0.3517 0.3386 0.9581
Bi 0.6483 0.6614 0.0419
Ga 0.1711 0.0919 0.5659
Ga 0.8289 0.9081 0.4341

Output
The calculation puts the density at 10.97 g cm⁻³. The density of states at the Fermi level is 2.3 states/eV/cell. Its space group is C2/m (12).

Tell me which of them is the least stable. Sure, it is ii.

--- i ---
K3GaBi: relaxed, PBE.

Lattice parameters (Å, degrees): 6.8155 6.8155 6.8155 90.00 90.00 90.00
Site moments in Bohr magnetons follow the coordinates.
Fractional positions:
K 0.0000 0.0000 0.5000  0.00
K 0.0000 0.5000 0.0000  0.00
K 0.5000 0.0000 0.0000  0.00
Ga 0.5000 0.5000 0.5000  0.23
Bi 0.0000 0.0000 0.0000  -0.10

Output
The calculation puts the density at 2.08 g cm⁻³. The density of states at the Fermi level is 8.0 states/eV/cell. Its space group is Pm-3m (221).

--- ii ---
K3GaBi: relaxed, PBE.

Lattice parameters (Å, degrees): 8.5703 8.5703 8.5703 91.04 126.15 113.08
Fractional positions:
K 0.9830 0.7593 0.2719
K 0.9830 0.2112 0.7237
K 0.0026 0.2349 0.2676
K 0.4874 0.7112 0.7281
K 0.4874 0.2593 0.2763
K 0.9673 0.7349 0.7324
Ga 0.3949 0.0778 0.8171
Ga 0.2607 0.5778 0.1829
Bi 0.7048 0.3750 0.8297
Bi 0.5453 0.8750 0.1703

Output
The calculation puts the density at 2.99 g cm⁻³. The density of states at the Fermi level is 6.0 states/eV/cell. Its space group is Ima2 (46).

Tell me which of them is the least stable. Sure, it is i.